Entry 1:
# YTl2Hg

A geometry-optimized YTl2Hg structure (PBE, Alexandria).

Computed properties:
Space group: P4mm (99)
Electronic total energy in eV/atom: -3.069

a b c (Å): 3.8256 3.8292 7.5530
angles (deg): 90.00 90.00 90.00
Last column: nearest neighbours and their distance in Å.
Element x y z (fractional)
Hg1 0.5000 0.5000 0.7367  4 Y 3.18, 4 Tl 3.32
Tl1 0.5000 0.5000 0.2577  4 Y 3.33, 4 Tl 3.38, 1 Hg 3.62
Tl2 0.0000 0.0000 0.9903  4 Hg 3.32, 4 Tl 3.38, 1 Y 3.59
Y1 0.0000 0.0000 0.5154  4 Hg 3.18, 4 Tl 3.33


Entry 2:
# CaY7In4

A geometry-optimized CaY7In4 structure (PBE, Alexandria).

Computed properties:
Space group: C2/m (12)
Electronic total energy in eV/atom: -4.970

a b c (Å): 5.6783 9.4821 7.6497
angles (deg): 78.56 68.21 72.58
Last column: nearest neighbours and their distance in Å.
Element x y z (fractional)
Y1 0.9408 0.3823 0.7362  3 In 3.18-3.27, 1 Y 3.28
Y2 0.0592 0.6177 0.2638  3 In 3.18-3.27, 1 Y 3.28
Y3 0.7830 0.8756 0.5583  4 In 3.24-3.34, 2 Y 3.28-3.44
Y4 0.5000 0.0000 0.0000  2 Ca 2.84, 4 In 3.03-3.10
Y5 0.2170 0.1244 0.4417  4 In 3.24-3.34, 2 Y 3.28-3.44
Y6 0.3087 0.6249 0.7578  4 In 3.02-3.22
Y7 0.6913 0.3751 0.2422  4 In 3.02-3.22
In1 0.3144 0.3298 0.0413  6 Y 3.03-3.24, 1 In 3.08
In2 0.5661 0.2260 0.6419  7 Y 3.02-3.34, 1 In 3.08
In3 0.4339 0.7740 0.3581  7 Y 3.02-3.34, 1 In 3.08
In4 0.6856 0.6702 0.9587  6 Y 3.03-3.24, 1 In 3.08
Ca1 0.0000 0.0000 0.0000  2 Y 2.84


Entry 3:
# Ba2Ga6Ge3

A geometry-optimized Ba2Ga6Ge3 structure (PBE, Alexandria).

Computed properties:
Space group: P-62m (189)
Electronic total energy in eV/atom: -3.523

a b c (Å): 4.5365 8.2328 8.2328
angles (deg): 120.00 90.00 90.00
Last column: nearest neighbours and their distance in Å.
Element x y z (fractional)
Ge1 0.5000 0.3617 0.3617  5 Ga 2.69-2.78
Ge2 0.5000 0.0000 0.6383  5 Ga 2.69-2.78
Ge3 0.5000 0.6383 0.0000  5 Ga 2.69-2.78
Ga1 0.0000 0.8138 0.0000  2 Ga 2.66, 2 Ge 2.69
Ga2 0.5000 0.3009 0.0000  3 Ge 2.76-2.78
Ga3 0.5000 0.6991 0.6991  3 Ge 2.76-2.78
Ga4 0.0000 0.1862 0.1862  2 Ga 2.66, 2 Ge 2.69
Ga5 0.5000 0.0000 0.3009  3 Ge 2.76-2.78
Ga6 0.0000 0.0000 0.8138  2 Ga 2.66, 2 Ge 2.69
Ba1 0.0000 0.6667 0.3333  6 Ge 3.48, 9 Ga 3.51-3.67
Ba2 0.0000 0.3333 0.6667  6 Ge 3.48, 9 Ga 3.51-3.67


Entry 4:
# Tl2TcPb

A geometry-optimized Tl2TcPb structure (PBE, Alexandria).

Computed properties:
Offset from the most stable computed form in eV per atom: 0.292
Space group: I-4m2 (119)

a b c (Å): 5.6676 5.6676 5.6676
angles (deg): 132.23 132.23 69.86
Last column: nearest neighbours and their distance in Å.
Element x y z (fractional)
Tl1 0.0000 0.0000 0.0000  4 Pb 3.25, 4 Tl 3.27, 4 Tc 3.27
Tl2 0.2500 0.7500 0.5000  4 Tc 3.25, 4 Tl 3.27, 4 Pb 3.27
Tc1 0.7500 0.2500 0.5000  8 Tl 3.25-3.27, 4 Pb 3.27
Pb1 0.5000 0.5000 0.0000  8 Tl 3.25-3.27, 4 Tc 3.27


Entry 5:
# CrCdW4

A geometry-optimized CrCdW4 structure (PBE, Alexandria).

Computed properties:
Space group: F-43m (216)
Electronic total energy in eV/atom: -9.720

a b c (Å): 5.2705 5.2705 5.2705
angles (deg): 60.00 60.00 60.00
Last column: nearest neighbours and their distance in Å.
Element x y z (fractional)
W1 0.8735 0.3755 0.3755  6 W 2.63-2.65
W2 0.3755 0.8735 0.3755  6 W 2.63-2.65
W3 0.3755 0.3755 0.3755  6 W 2.63-2.65
W4 0.3755 0.3755 0.8735  6 W 2.63-2.65
Cr1 0.0000 0.0000 0.0000  12 W 3.09, 4 Cd 3.23
Cd1 0.7500 0.7500 0.7500  12 W 3.09, 4 Cr 3.23


Entry 6:
# Ac12La5Dy2

A geometry-optimized Ac12La5Dy2 structure (PBE, Alexandria).

Computed properties:
Offset from the most stable computed form in eV per atom: 0.073
Space group: C2/m (12)

a b c (Å): 7.7519 10.6558 10.9478
angles (deg): 73.52 90.00 111.33
Last column: nearest neighbours and their distance in Å.
Element x y z (fractional)
Ac1 0.5013 0.0026 0.3189  7 Ac 3.82-4.09, 2 Dy 3.83, 1 La 3.84
Ac2 0.0839 0.6829 0.8894  6 Ac 3.70-4.05, 1 Dy 3.73, 3 La 3.87-4.07
Ac3 0.0312 0.0625 0.7694  2 La 3.19-3.38, 2 Dy 3.35
Ac4 0.4987 0.9974 0.6811  7 Ac 3.82-4.09, 2 Dy 3.83, 1 La 3.84
Ac5 0.4128 0.3276 0.4641  4 La 3.70-4.09, 6 Ac 3.74-4.06
Ac6 0.9161 0.3171 0.1106  6 Ac 3.70-4.05, 1 Dy 3.73, 3 La 3.87-4.07
Ac7 0.4009 0.3171 0.1106  6 Ac 3.70-4.05, 1 Dy 3.73, 3 La 3.87-4.07
Ac8 0.0852 0.6724 0.5359  4 La 3.70-4.09, 6 Ac 3.74-4.06
Ac9 0.9688 0.9375 0.2306  2 La 3.19-3.38, 2 Dy 3.35
Ac10 0.5872 0.6724 0.5359  4 La 3.70-4.09, 6 Ac 3.74-4.06
Ac11 0.9148 0.3276 0.4641  4 La 3.70-4.09, 6 Ac 3.74-4.06
Ac12 0.5991 0.6829 0.8894  6 Ac 3.70-4.05, 1 Dy 3.73, 3 La 3.87-4.07
Dy1 0.2999 0.0000 0.0000  1 Dy 3.10, 2 Ac 3.35
Dy2 0.7001 0.0000 0.0000  1 Dy 3.10, 2 Ac 3.35
La1 0.6676 0.3352 0.7824  2 Dy 3.78, 7 Ac 3.84-4.09, 2 La 3.93
La2 0.8016 0.6032 0.2127  3 Ac 3.38-3.78
La3 0.0000 0.0000 0.5000  2 Ac 3.19
La4 0.1984 0.3968 0.7873  3 Ac 3.38-3.78
La5 0.3324 0.6648 0.2176  2 Dy 3.78, 7 Ac 3.84-4.09, 2 La 3.93


Entry 7:
# HoEr12Tm7

A geometry-optimized HoEr12Tm7 structure (PBE, Alexandria).

Computed properties:
Offset from the most stable computed form in eV per atom: 0.000
Space group: R-3 (148)

a b c (Å): 8.5521 8.5521 8.5521
angles (deg): 95.07 95.07 95.07
Last column: nearest neighbours and their distance in Å.
Element x y z (fractional)
Tm1 0.0202 0.0827 0.3517  1 Ho 3.01, 2 Er 3.03-3.30, 1 Tm 3.04
Tm2 0.5000 0.5000 0.5000  6 Er 3.02
Tm3 0.3517 0.0202 0.0827  1 Ho 3.01, 2 Er 3.03-3.30, 1 Tm 3.04
Tm4 0.6483 0.9798 0.9173  1 Ho 3.01, 2 Er 3.03-3.30, 1 Tm 3.04
Tm5 0.9798 0.9173 0.6483  1 Ho 3.01, 2 Er 3.03-3.30, 1 Tm 3.04
Tm6 0.9173 0.6483 0.9798  1 Ho 3.01, 2 Er 3.03-3.30, 1 Tm 3.04
Tm7 0.0827 0.3517 0.0202  1 Ho 3.01, 2 Er 3.03-3.30, 1 Tm 3.04
Ho1 0.0000 0.0000 0.0000  6 Tm 3.01
Er1 0.4780 0.1477 0.4160  2 Tm 3.02-3.03, 2 Er 3.05-3.30
Er2 0.4160 0.4780 0.1477  2 Tm 3.02-3.03, 2 Er 3.05-3.30
Er3 0.2500 0.6862 0.8129  3 Er 3.30-3.51, 3 Tm 3.30-3.50
Er4 0.3138 0.1871 0.7500  3 Er 3.30-3.51, 3 Tm 3.30-3.50
Er5 0.8523 0.5840 0.5220  2 Tm 3.02-3.03, 2 Er 3.05-3.30
Er6 0.7500 0.3138 0.1871  3 Er 3.30-3.51, 3 Tm 3.30-3.50
Er7 0.5840 0.5220 0.8523  2 Tm 3.02-3.03, 2 Er 3.05-3.30
Er8 0.1477 0.4160 0.4780  2 Tm 3.02-3.03, 2 Er 3.05-3.30
Er9 0.5220 0.8523 0.5840  2 Tm 3.02-3.03, 2 Er 3.05-3.30
Er10 0.6862 0.8129 0.2500  3 Er 3.30-3.51, 3 Tm 3.30-3.50
Er11 0.1871 0.7500 0.3138  3 Er 3.30-3.51, 3 Tm 3.30-3.50
Er12 0.8129 0.2500 0.6862  3 Er 3.30-3.51, 3 Tm 3.30-3.50


Entry 8:
# RbBe2H2

A geometry-optimized RbBe2H2 structure (PBE, Alexandria).

Computed properties:
Offset from the most stable computed form in eV per atom: 0.047
Space group: C2 (5)

a b c (Å): 6.6238 3.7879 13.2538
angles (deg): 90.00 100.54 90.00
Last column: nearest neighbours and their distance in Å.
Element x y z (fractional)
Be1 0.0725 0.2064 0.7654  1 H 1.46
Be2 0.1957 0.1878 0.3390  2 H 1.41-1.54
Be3 0.9275 0.2064 0.2346  1 H 1.46
Be4 0.0725 0.7064 0.2654  1 H 1.46
Be5 0.8043 0.6878 0.1610  2 H 1.41-1.54
Be6 0.8043 0.1878 0.6610  2 H 1.41-1.54
Be7 0.1957 0.6878 0.8390  2 H 1.41-1.54
Be8 0.9275 0.7064 0.7346  1 H 1.46
H1 0.2782 0.8559 0.2934  2 Be 1.46-1.54
H2 0.6465 0.2367 0.5747  1 Be 1.41
H3 0.6465 0.7367 0.0747  1 Be 1.41
H4 0.3535 0.2367 0.4253  1 Be 1.41
H5 0.3535 0.7367 0.9253  1 Be 1.41
H6 0.2782 0.3559 0.7934  2 Be 1.46-1.54
H7 0.7218 0.8559 0.7066  2 Be 1.46-1.54
H8 0.7218 0.3559 0.2066  2 Be 1.46-1.54
Rb1 0.6893 0.7125 0.4157  6 H 2.83-3.13
Rb2 0.6893 0.2125 0.9157  6 H 2.83-3.13
Rb3 0.3107 0.2125 0.0843  6 H 2.83-3.13
Rb4 0.3107 0.7125 0.5843  6 H 2.83-3.13


Entry 9:
# BeIrPb2I

A geometry-optimized BeIrPb2I structure (PBE, Alexandria).

Computed properties:
Space group: P4/mmm (123)
Raw formation energy in eV per atom: 0.47

a b c (Å): 5.5506 4.1534 5.5506
angles (deg): 90.00 90.00 90.00
Last column: nearest neighbours and their distance in Å.
Element x y z (fractional)
Pb1 0.0000 0.0000 0.5000  2 Be 2.78
Pb2 0.5000 0.0000 0.0000  2 Be 2.78
Ir1 0.0000 0.5000 0.0000  2 Be 2.08
Be1 0.0000 0.0000 0.0000  2 Ir 2.08
I1 0.5000 0.5000 0.5000  8 Pb 3.47


Entry 10:
# Pm5Er12Cd2

A geometry-optimized Pm5Er12Cd2 structure (PBE, Alexandria).

Computed properties:
Space group: C2/m (12)
Electronic total energy in eV/atom: -4.186

a b c (Å): 9.2406 12.0444 8.2790
angles (deg): 131.74 90.00 112.56
Last column: nearest neighbours and their distance in Å.
Element x y z (fractional)
Er1 0.5543 0.1087 0.7841  2 Cd 3.22, 7 Er 3.31-3.53, 2 Pm 3.33-3.49
Er2 0.3271 0.2901 0.0520  1 Cd 3.22, 4 Er 3.34-3.57, 3 Pm 3.51-3.60
Er3 0.6729 0.7099 0.9480  1 Cd 3.22, 4 Er 3.34-3.57, 3 Pm 3.51-3.60
Er4 0.4457 0.8913 0.2159  2 Cd 3.22, 7 Er 3.31-3.53, 2 Pm 3.33-3.49
Er5 0.0777 0.1554 0.2750  5 Er 3.16-3.53, 2 Pm 3.33-3.48, 2 Cd 3.40
Er6 0.0370 0.7099 0.9480  1 Cd 3.22, 4 Er 3.34-3.57, 3 Pm 3.51-3.60
Er7 0.8190 0.2535 0.5817  5 Er 3.31-3.57, 1 Cd 3.40, 4 Pm 3.40-3.71
Er8 0.9630 0.2901 0.0520  1 Cd 3.22, 4 Er 3.34-3.57, 3 Pm 3.51-3.60
Er9 0.4345 0.2535 0.5817  5 Er 3.31-3.57, 1 Cd 3.40, 4 Pm 3.40-3.71
Er10 0.1810 0.7465 0.4183  5 Er 3.31-3.57, 1 Cd 3.40, 4 Pm 3.40-3.71
Er11 0.5655 0.7465 0.4183  5 Er 3.31-3.57, 1 Cd 3.40, 4 Pm 3.40-3.71
Er12 0.9223 0.8446 0.7250  5 Er 3.16-3.53, 2 Pm 3.33-3.48, 2 Cd 3.40
Pm1 0.0000 0.0000 0.5000  10 Er 3.33-3.71, 2 Pm 3.66
Pm2 0.2977 0.5954 0.6095  8 Er 3.48-3.61, 1 Pm 3.49, 2 Cd 3.51
Pm3 0.2350 0.4699 0.8936  8 Er 3.33-3.56, 2 Pm 3.49-3.66
Pm4 0.7023 0.4046 0.3905  8 Er 3.48-3.61, 1 Pm 3.49, 2 Cd 3.51
Pm5 0.7650 0.5301 0.1064  8 Er 3.33-3.56, 2 Pm 3.49-3.66
Cd1 0.3252 0.0000 0.0000  8 Er 3.22-3.40, 1 Cd 3.23, 2 Pm 3.51
Cd2 0.6748 0.0000 0.0000  8 Er 3.22-3.40, 1 Cd 3.23, 2 Pm 3.51


Entry 11:
# Mg4TaBr

A geometry-optimized Mg4TaBr structure (PBE, Alexandria).

Computed properties:
Space group: F-43m (216)
Raw formation energy in eV per atom: 0.53

a b c (Å): 5.7515 5.7515 5.7515
angles (deg): 60.00 60.00 60.00
Last column: nearest neighbours and their distance in Å.
Element x y z (fractional)
Mg1 0.3770 0.3770 0.8690  6 Mg 2.83-2.92
Mg2 0.8690 0.3770 0.3770  6 Mg 2.83-2.92
Mg3 0.3770 0.3770 0.3770  6 Mg 2.83-2.92
Mg4 0.3770 0.8690 0.3770  6 Mg 2.83-2.92
Br1 0.0000 0.0000 0.0000  12 Mg 3.38, 4 Ta 3.52
Ta1 0.7500 0.7500 0.7500  12 Mg 3.37, 4 Br 3.52


Entry 12:
# Li2BiP

A geometry-optimized Li2BiP structure (PBE, Alexandria).

Computed properties:
Offset from the most stable computed form in eV per atom: 0.058
Space group: I-42d (122)

a b c (Å): 7.8480 7.8480 6.2071
angles (deg): 50.79 50.79 90.00
Last column: nearest neighbours and their distance in Å.
Element x y z (fractional)
Bi1 0.0000 0.0000 0.0000  2 P 2.78
Bi2 0.7500 0.2500 0.5000  2 P 2.78
Li1 0.2017 0.6250 0.2500  2 P 2.49
Li2 0.8750 0.7983 0.7500  2 P 2.49
Li3 0.5483 0.1250 0.2500  2 P 2.49
Li4 0.3750 0.4517 0.7500  2 P 2.49
P1 0.5000 0.5000 0.0000  4 Li 2.49, 2 Bi 2.78
P2 0.2500 0.7500 0.5000  4 Li 2.49, 2 Bi 2.78


Entry 13:
# CaSc2Ir

A geometry-optimized CaSc2Ir structure (PBE, Alexandria).

Computed properties:
Space group: R-3m (166)
Electronic total energy in eV/atom: -6.067

a b c (Å): 10.1091 10.1091 10.1091
angles (deg): 21.76 21.76 21.76
Last column: nearest neighbours and their distance in Å.
Element x y z (fractional)
Sc1 0.1206 0.1206 0.1206  3 Ir 2.59
Sc2 0.8794 0.8794 0.8794  3 Ir 2.59
Ca1 0.0000 0.0000 0.0000  2 Sc 3.57, 6 Ca 3.82
Ir1 0.5000 0.5000 0.5000  6 Sc 2.59


Entry 14:
# Nd4Ga2Sn5

A geometry-optimized Nd4Ga2Sn5 structure (PBE, Alexandria).

Computed properties:
Space group: P2/m (10)
Electronic total energy in eV/atom: -4.788

a b c (Å): 4.4440 7.5310 8.9412
angles (deg): 88.98 90.00 90.00
Last column: nearest neighbours and their distance in Å.
Element x y z (fractional)
Sn1 0.0000 0.5000 0.0000  4 Sn 3.07-3.09, 4 Nd 3.27
Sn2 0.0000 0.5533 0.6590  1 Ga 2.73, 1 Sn 2.97
Sn3 0.0000 0.4467 0.3410  1 Ga 2.73, 1 Sn 2.97
Sn4 0.0000 0.8763 0.1312  1 Ga 2.74, 1 Sn 2.97
Sn5 0.0000 0.1237 0.8688  1 Ga 2.74, 1 Sn 2.97
Ga1 0.0000 0.0857 0.3782  1 Ga 2.51, 2 Sn 2.73-2.74
Ga2 0.0000 0.9143 0.6218  1 Ga 2.51, 2 Sn 2.73-2.74
Nd1 0.5000 0.2396 0.6036  4 Ga 3.23-3.31, 6 Sn 3.29-3.57
Nd2 0.5000 0.7774 0.8640  2 Ga 3.26, 8 Sn 3.27-3.43
Nd3 0.5000 0.7604 0.3964  4 Ga 3.23-3.31, 6 Sn 3.29-3.57
Nd4 0.5000 0.2226 0.1360  2 Ga 3.26, 8 Sn 3.27-3.43


Entry 15:
# Pm2TlIn3

A geometry-optimized Pm2TlIn3 structure (PBE, Alexandria).

Computed properties:
Space group: Pmm2 (25)
Electronic total energy in eV/atom: -3.738

a b c (Å): 3.6875 5.0442 8.7241
angles (deg): 90.00 90.00 90.00
Last column: nearest neighbours and their distance in Å.
Element x y z (fractional)
Pm1 0.0000 0.5000 0.9990  10 In 3.41-3.45, 2 Tl 3.46, 2 Pm 3.69
Pm2 0.0000 0.0000 0.5010  8 In 3.42-3.48, 4 Tl 3.44, 2 Pm 3.69
In1 0.5000 0.5000 0.6702  2 In 2.89, 1 Tl 2.93
In2 0.5000 0.0000 0.1632  1 In 2.89, 2 Tl 2.93
In3 0.5000 0.0000 0.8317  3 In 2.89
Tl1 0.5000 0.5000 0.3348  3 In 2.93


Entry 16:
# K2NaBeSb2

A geometry-optimized K2NaBeSb2 structure (PBE, Alexandria).

Computed properties:
Space group: Ibam (72)
Raw formation energy in eV per atom: -0.24

a b c (Å): 7.2604 6.7777 9.1438
angles (deg): 111.75 113.39 90.00
Last column: nearest neighbours and their distance in Å.
Element x y z (fractional)
Be1 0.5000 0.2500 0.0000  4 Sb 2.59
Be2 0.5000 0.7500 0.0000  4 Sb 2.59
K1 0.5835 0.8309 0.6618  4 Sb 3.45-3.73, 2 Na 3.58, 2 Be 3.60
K2 0.4165 0.1691 0.3382  4 Sb 3.45-3.73, 2 Na 3.58, 2 Be 3.60
K3 0.0783 0.3309 0.6618  4 Sb 3.45-3.73, 2 Na 3.58, 2 Be 3.60
K4 0.9217 0.6691 0.3382  4 Sb 3.45-3.73, 2 Na 3.58, 2 Be 3.60
Na1 0.0000 0.7500 0.0000  4 Sb 3.12, 2 Na 3.39
Na2 0.0000 0.2500 0.0000  4 Sb 3.12, 2 Na 3.39
Sb1 0.6023 0.4107 0.8214  2 Be 2.59
Sb2 0.2190 0.9107 0.8214  2 Be 2.59
Sb3 0.3977 0.5893 0.1786  2 Be 2.59
Sb4 0.7810 0.0893 0.1786  2 Be 2.59


no.,magnetic moment (μB/cell)
1,0.14
2,0.00
3,0.00
4,2.22
5,0.10
6,0.00
7,0.00
8,0.00
9,0.00
10,0.00
11,2.02
12,0.00
13,0.00
14,0.00
15,0.00
16,0.01